Record 1
The following is a GGA-PBE calculation of MoOsRu2 after structural relaxation, from the Alexandria database.

a = 2.743 Å, b = 2.743 Å, c = 7.727 Å
α = 90.00°, β = 90.00°, γ = 90.00°
Space group P4mm (No. 99)
Asymmetric unit:
1 Mo 0.000 0.000 0.000
2 Os 0.500 0.500 0.262
3 Ru 0.000 0.000 0.502
4 Ru 0.500 0.500 0.749

final energy = -40.2 eV per cell
density of states at the Fermi level = 3.755 states/eV per cell
relative energy among the computed polymorphs = 124 meV/atom
DFT formation energy = 97 meV per atom
spin magnetization = 0.0 μB/f.u.

Record 2
The following is a GGA-PBE calculation of Mo2OsRu after structural relaxation, from the Alexandria database.

a = 6.241 Å, b = 6.241 Å, c = 6.241 Å
α = 90.00°, β = 90.00°, γ = 90.00°
Space group F-43m (No. 216)
Asymmetric unit:
1 Mo 0.000 0.000 0.000
2 Mo 0.250 0.250 0.250
3 Os 0.000 0.000 0.500
4 Ru 0.250 0.250 0.750

final energy = -163.6 eV per cell
density of states at the Fermi level = 23.563 states/eV per cell
relative energy among the computed polymorphs = 266 meV/atom
DFT formation energy = 318 meV per atom
spin magnetization = 1.3 μB/f.u.

Record 3
The following is a GGA-PBE calculation of MoOs2Ru after structural relaxation, from the Alexandria database.

a = 4.796 Å, b = 4.374 Å, c = 11.113 Å
α = 90.00°, β = 90.00°, γ = 90.00°
Space group Pnma (No. 62)
Asymmetric unit:
1 Mo 0.088 0.250 0.184
2 Os 0.077 0.250 0.686
3 Os 0.088 0.250 0.936
4 Ru 0.084 0.250 0.441

final energy = -170.5 eV per cell
density of states at the Fermi level = 13.278 states/eV per cell
relative energy among the computed polymorphs = 0 meV/atom
DFT formation energy = -12 meV per atom
spin magnetization = 0.0 μB/f.u.

Record 4
The following is a GGA-PBE calculation of Mo2OsRu after structural relaxation, from the Alexandria database.

a = 3.921 Å, b = 3.921 Å, c = 3.898 Å
α = 90.00°, β = 90.00°, γ = 90.00°
Space group P4/mmm (No. 123)
Asymmetric unit:
1 Mo 0.000 0.500 0.000
2 Os 0.000 0.000 0.500
3 Ru 0.500 0.500 0.500

final energy = -42.0 eV per cell
density of states at the Fermi level = 3.491 states/eV per cell
relative energy among the computed polymorphs = 0 meV/atom
DFT formation energy = 52 meV per atom
spin magnetization = 0.0 μB/f.u.